# AcNd4Tl2

A relaxed AcNd4Tl2 crystal (PBE, the Alexandria database).

It has space group P2_1/m (No. 11), with a = 8.4195 Å, b = 6.8551 Å, c = 9.1506 Å, α = 90.00°, β = 115.39° and γ = 90.00°. The inequivalent atoms are Ac at (0.1065, 0.2500, 0.3437), Nd at (0.1863, 0.7500, 0.0840), Nd at (0.3516, 0.0039, 0.7779), Nd at (0.4452, 0.7500, 0.4929), Tl at (0.0317, 0.7500, 0.3668) and Tl at (0.2640, 0.2500, 0.0560).

The formation energy comes out at -0.127 eV per atom. The density of states at the Fermi level comes out at 18.2 states/eV per cell. For the density, the calculation gives 8.441 g/cm3.


# AcNd2Tl2

A relaxed AcNd2Tl2 crystal (PBE, the Alexandria database).

It has space group P2_1/m (No. 11), with a = 7.3002 Å, b = 5.3104 Å, c = 9.4807 Å, α = 90.00°, β = 112.52° and γ = 90.00°. The inequivalent atoms are Ac at (0.0930, 0.2500, 0.1828), Nd at (0.2688, 0.7500, 0.5386), Nd at (0.4514, 0.7500, 0.9069), Tl at (0.1581, 0.2500, 0.7442) and Tl at (0.4168, 0.7500, 0.2575).

The formation energy comes out at -0.214 eV per atom. The density of states at the Fermi level comes out at 9.2 states/eV per cell. For the density, the calculation gives 9.041 g/cm3.


# Ac4NdTl3

A relaxed Ac4NdTl3 crystal (PBE, the Alexandria database).

It has space group P4/mmm (No. 123), with a = 3.9379 Å, b = 3.9379 Å, c = 18.9027 Å, α = 90.00°, β = 90.00° and γ = 90.00°. The inequivalent atoms are Ac at (0.0000, 0.0000, 0.1204), Ac at (0.0000, 0.0000, 0.3592), Nd at (0.5000, 0.5000, 0.5000), Tl at (0.5000, 0.5000, 0.0000) and Tl at (0.5000, 0.5000, 0.2402).

The formation energy comes out at -0.242 eV per atom. The density of states at the Fermi level comes out at 9.8 states/eV per cell. For the density, the calculation gives 9.434 g/cm3.